# 1
Below is a geometry-optimized Fe3CuCl12 structure, with properties calculated at the PBE level.

Cell: 10.9599 10.9599 33.5925 Å, 90.00 90.00 120.00°
Space group R3c (No. 161, hexagonal axes)
Symmetry-distinct sites (fractional):
Fe (0.0033, 0.2942, 0.0000) x18
Cu (0.0000, 0.0000, 0.0539) x6
Cl (0.1572, 0.4389, 0.6125) x18
Cl (0.1798, 0.4402, 0.7218) x18
Cl (0.1805, 0.4084, 0.5028) x18
Cl (0.1824, 0.4393, 0.3374) x18

ΔE_f (raw) ... -0.613 eV/atom
Raw total energy ... -368.698 eV/cell


# 2
Below is a geometry-optimized Na2Cd4Hg3Bi2 structure, with properties calculated at the PBE level.

Cell: 4.277 4.277 33.145 Å, 90.00 90.00 90.00°
Space group I4/mmm (No. 139)
Symmetry-distinct sites (fractional):
Na (0.000, 0.000, 0.214) x4
Cd (0.000, 0.500, 0.121) x8
Hg (0.000, 0.000, 0.309) x4
Hg (0.000, 0.000, 0.500) x2
Bi (0.000, 0.000, 0.048) x4

Raw total energy ... -30.620 eV/cell
Calculated formation energy ... -0.031 eV/atom


# 3
Below is a geometry-optimized YSb2PtI structure, with properties calculated at the PBE level.

Cell: 5.844 5.844 5.635 Å, 90.00 90.00 90.00°
Space group P4/mmm (No. 123)
Symmetry-distinct sites (fractional):
Y (0.000, 0.000, 0.000) x1
Sb (0.000, 0.500, 0.000) x2
Pt (0.500, 0.500, 0.500) x1
I (0.000, 0.000, 0.500) x1

ΔE_f (raw) ... 0.731 eV/atom
Raw total energy ... -18.643 eV/cell


# 4
Below is a geometry-optimized AgAsPt2 structure, with properties calculated at the PBE level.

Cell: 4.064 4.064 4.017 Å, 90.00 90.00 90.00°
Space group P4/mmm (No. 123)
Symmetry-distinct sites (fractional):
Ag (0.000, 0.000, 0.000) x1
As (0.500, 0.500, 0.000) x1
Pt (0.000, 0.500, 0.500) x2

Raw total energy ... -19.317 eV/cell
Calculated formation energy ... 0.066 eV/atom


# 5
Below is a geometry-optimized PtRh2 structure, with properties calculated at the PBE level.

Cell: 3.882 3.882 23.350 Å, 90.00 90.00 90.00°
Space group I4_1/amd (No. 141, origin choice 2)
Symmetry-distinct sites (fractional):
Pt (0.000, 0.250, 0.292) x8
Rh (0.000, 0.250, 0.125) x8
Rh (0.000, 0.250, 0.792) x8

Raw total energy ... -166.465 eV/cell
Calculated formation energy ... -0.021 eV/atom


# 6
Below is a geometry-optimized SbRuNF2 structure, with properties calculated at the PBE level.

Cell: 4.385 4.385 3.748 Å, 90.00 90.00 90.00°
Space group P4/mmm (No. 123)
Symmetry-distinct sites (fractional):
Sb (0.000, 0.000, 0.000) x1
Ru (0.500, 0.500, 0.500) x1
N (0.500, 0.500, 0.000) x1
F (0.000, 0.500, 0.500) x2

ΔE_f (raw) ... -0.240 eV/atom
Raw total energy ... -26.665 eV/cell


# 7
Below is a geometry-optimized ReW2Au structure, with properties calculated at the PBE level.

Cell: 2.8093 2.8093 28.6746 Å, 90.00 90.00 120.00°
Space group R3m (No. 160, hexagonal axes)
Symmetry-distinct sites (fractional):
Re (0.0000, 0.0000, 0.0000) x3
W (0.0000, 0.0000, 0.4969) x3
W (0.0000, 0.0000, 0.7457) x3
Au (0.0000, 0.0000, 0.2483) x3

Raw total energy ... -120.028 eV/cell
Calculated formation energy ... 0.406 eV/atom


# 8
Below is a geometry-optimized CaHgSe2Br structure, with properties calculated at the PBE level.

Cell: 5.232 5.232 5.635 Å, 90.00 90.00 90.00°
Space group P4/mmm (No. 123)
Symmetry-distinct sites (fractional):
Ca (0.000, 0.000, 0.000) x1
Hg (0.500, 0.500, 0.500) x1
Se (0.000, 0.500, 0.500) x2
Br (0.500, 0.500, 0.000) x1

ΔE_f (raw) ... -0.422 eV/atom
Raw total energy ... -13.057 eV/cell